[1]
Compound: LiSb4S6
Source: the Alexandria database
Functional: PBE
Structure: relaxed

Cell and atoms, written as CIF:
```
data_LiSb4S6
_chemical_formula_sum 'Li1 Sb4 S6'
_cell_length_a 6.450
_cell_length_b 6.034
_cell_length_c 12.764
_cell_angle_alpha 128.98
_cell_angle_beta 122.90
_cell_angle_gamma 78.80
_space_group_name_H-M_alt 'P 1'
_space_group_IT_number 1
loop_
_space_group_symop_operation_xyz
'x,y,z'
loop_
_atom_site_label
_atom_site_type_symbol
_atom_site_fract_x
_atom_site_fract_y
_atom_site_fract_z
_atom_site_occupancy
S1 S 0.630 0.051 0.034 1
Sb1 Sb 0.006 0.149 0.613 1
S2 S 0.415 0.350 0.285 1
S3 S 0.831 0.853 0.309 1
S4 S 0.076 0.566 0.968 1
Sb2 Sb 0.308 0.956 0.266 1
Sb3 Sb 0.607 0.583 0.798 1
Sb4 Sb 0.868 0.281 0.328 1
S5 S 0.073 0.614 0.679 1
Li1 Li 0.224 0.949 0.978 1
S6 S 0.461 0.147 0.742 1
```

Values from the calculation:
The energy relative to the elements, uncorrected comes out at -289 meV/atom. The value obtained for the total DFT energy (no corrections) is -4.21 eV per atom. The calculation puts the density at 3.61 g cm⁻³. The crystal system is triclinic.

=====

[2]
Compound: Li4Sb3S8
Source: the Alexandria database
Functional: PBE
Structure: relaxed

Cell and atoms, written as CIF:
```
data_Li4Sb3S8
_chemical_formula_sum 'Li4 Sb3 S8'
_cell_length_a 7.525
_cell_length_b 7.630
_cell_length_c 7.630
_cell_angle_alpha 89.80
_cell_angle_beta 120.97
_cell_angle_gamma 120.97
_space_group_name_H-M_alt 'P 1'
_space_group_IT_number 1
loop_
_space_group_symop_operation_xyz
'x,y,z'
loop_
_atom_site_label
_atom_site_type_symbol
_atom_site_fract_x
_atom_site_fract_y
_atom_site_fract_z
_atom_site_occupancy
S1 S 0.504 0.752 0.752 1
S2 S 0.036 0.266 0.266 1
S3 S 0.500 0.249 0.751 1
S4 S 0.500 0.751 0.249 1
S5 S 0.000 0.240 0.760 1
S6 S 0.964 0.734 0.734 1
Li1 Li 0.500 0.000 0.000 1
Li2 Li 0.000 0.000 0.500 1
S7 S 0.496 0.248 0.248 1
Li3 Li 0.000 0.000 0.000 1
Sb1 Sb 0.500 0.500 0.000 1
S8 S 0.000 0.760 0.240 1
Sb2 Sb 0.500 0.000 0.500 1
Sb3 Sb 0.500 0.500 0.500 1
Li4 Li 0.000 0.500 0.000 1
```

Values from the calculation:
The energy relative to the elements, uncorrected comes out at -514 meV/atom. The value obtained for the total DFT energy (no corrections) is -4.05 eV per atom. The calculation puts the density at 3.58 g cm⁻³. The crystal system is monoclinic.

=====

[3]
Compound: Li3SbS4
Source: the Alexandria database
Functional: PBE
Structure: relaxed

Cell and atoms, written as CIF:
```
data_Li3SbS4
_chemical_formula_sum 'Li6 Sb2 S8'
_cell_length_a 7.508
_cell_length_b 6.381
_cell_length_c 6.494
_cell_angle_alpha 70.40
_cell_angle_beta 90.00
_cell_angle_gamma 90.00
_space_group_name_H-M_alt 'P 1'
_space_group_IT_number 1
loop_
_space_group_symop_operation_xyz
'x,y,z'
loop_
_atom_site_label
_atom_site_type_symbol
_atom_site_fract_x
_atom_site_fract_y
_atom_site_fract_z
_atom_site_occupancy
S1 S 0.889 0.502 0.766 1
Li1 Li 0.612 0.250 0.000 1
S2 S 0.111 0.002 0.766 1
S3 S 0.111 0.498 0.234 1
Sb1 Sb 0.862 0.750 0.000 1
Li2 Li 0.618 0.750 0.500 1
S4 S 0.363 0.021 0.252 1
Li3 Li 0.382 0.250 0.500 1
Li4 Li 0.388 0.750 0.000 1
Li5 Li 0.855 0.250 0.500 1
S5 S 0.363 0.479 0.748 1
S6 S 0.889 0.998 0.234 1
S7 S 0.637 0.521 0.252 1
Sb2 Sb 0.138 0.250 0.000 1
S8 S 0.637 0.979 0.748 1
Li6 Li 0.145 0.750 0.500 1
```

Values from the calculation:
The energy relative to the elements, uncorrected comes out at -789 meV/atom. Its energy above the most stable polymorph in this dataset is 0.060 eV/atom. The value obtained for the total DFT energy (no corrections) is -4.09 eV per atom. The calculation puts the density at 3.07 g cm⁻³. The crystal system is monoclinic.

=====

[4]
Compound: LiSb2S3
Source: the Alexandria database
Functional: PBE
Structure: relaxed

Cell and atoms, written as CIF:
```
data_LiSb2S3
_chemical_formula_sum 'Li2 Sb4 S6'
_cell_length_a 5.771
_cell_length_b 7.466
_cell_length_c 7.466
_cell_angle_alpha 100.68
_cell_angle_beta 90.00
_cell_angle_gamma 90.00
_space_group_name_H-M_alt 'P 1'
_space_group_IT_number 1
loop_
_space_group_symop_operation_xyz
'x,y,z'
loop_
_atom_site_label
_atom_site_type_symbol
_atom_site_fract_x
_atom_site_fract_y
_atom_site_fract_z
_atom_site_occupancy
Li1 Li 0.025 0.854 0.854 1
Sb1 Sb 0.990 0.476 0.174 1
S1 S 0.988 0.515 0.851 1
S2 S 0.977 0.129 0.129 1
Sb2 Sb 0.990 0.174 0.476 1
S3 S 0.488 0.485 0.149 1
Sb3 Sb 0.490 0.524 0.826 1
S4 S 0.477 0.871 0.871 1
S5 S 0.488 0.149 0.485 1
Li2 Li 0.525 0.146 0.146 1
Sb4 Sb 0.490 0.826 0.524 1
S6 S 0.988 0.851 0.515 1
```

Values from the calculation:
The energy relative to the elements, uncorrected comes out at -400 meV/atom. Its energy above the most stable polymorph in this dataset is 0.005 eV/atom. The value obtained for the total DFT energy (no corrections) is -4.16 eV per atom. The calculation puts the density at 3.64 g cm⁻³. The crystal system is orthorhombic.

=====

[5]
Compound: Li4SbS4
Source: the Alexandria database
Functional: PBE
Structure: relaxed

Cell and atoms, written as CIF:
```
data_Li4SbS4
_chemical_formula_sum 'Li8 Sb2 S8'
_cell_length_a 6.905
_cell_length_b 6.905
_cell_length_c 7.960
_cell_angle_alpha 90.00
_cell_angle_beta 90.00
_cell_angle_gamma 98.82
_space_group_name_H-M_alt 'P 1'
_space_group_IT_number 1
loop_
_space_group_symop_operation_xyz
'x,y,z'
loop_
_atom_site_label
_atom_site_type_symbol
_atom_site_fract_x
_atom_site_fract_y
_atom_site_fract_z
_atom_site_occupancy
S1 S 0.693 0.243 0.250 1
S2 S 0.791 0.791 0.009 1
S3 S 0.243 0.693 0.250 1
S4 S 0.209 0.209 0.991 1
Li1 Li 0.847 0.153 0.000 1
Sb1 Sb 0.640 0.640 0.750 1
S5 S 0.791 0.791 0.491 1
S6 S 0.757 0.307 0.750 1
Li2 Li 0.576 0.882 0.250 1
Li3 Li 0.118 0.424 0.750 1
Li4 Li 0.882 0.576 0.250 1
Li5 Li 0.424 0.118 0.750 1
Li6 Li 0.847 0.153 0.500 1
Li7 Li 0.153 0.847 0.000 1
Li8 Li 0.153 0.847 0.500 1
S7 S 0.307 0.757 0.750 1
S8 S 0.209 0.209 0.509 1
Sb2 Sb 0.360 0.360 0.250 1
```

Values from the calculation:
The energy relative to the elements, uncorrected comes out at -901 meV/atom. Its energy above the most stable polymorph in this dataset is 0.000 eV/atom. The value obtained for the total DFT energy (no corrections) is -4.04 eV per atom. The calculation puts the density at 2.46 g cm⁻³. The crystal system is orthorhombic.

=====

[6]
Compound: Li5SbS4
Source: the Alexandria database
Functional: PBE
Structure: relaxed

Cell and atoms, written as CIF:
```
data_Li5SbS4
_chemical_formula_sum 'Li5 Sb1 S4'
_cell_length_a 7.864
_cell_length_b 7.864
_cell_length_c 7.864
_cell_angle_alpha 151.19
_cell_angle_beta 125.91
_cell_angle_gamma 62.44
_space_group_name_H-M_alt 'P 1'
_space_group_IT_number 1
loop_
_space_group_symop_operation_xyz
'x,y,z'
loop_
_atom_site_label
_atom_site_type_symbol
_atom_site_fract_x
_atom_site_fract_y
_atom_site_fract_z
_atom_site_occupancy
Li1 Li 0.500 0.500 0.000 1
Sb1 Sb 0.000 0.500 0.500 1
S1 S 0.730 0.000 0.730 1
S2 S 0.211 0.711 0.500 1
Li2 Li 0.031 0.822 0.209 1
S3 S 0.789 0.289 0.500 1
S4 S 0.270 0.000 0.270 1
Li3 Li 0.613 0.822 0.791 1
Li4 Li 0.387 0.178 0.209 1
Li5 Li 0.969 0.178 0.791 1
```

Values from the calculation:
The energy relative to the elements, uncorrected comes out at -1020 meV/atom. Its energy above the most stable polymorph in this dataset is 0.000 eV/atom. The value obtained for the total DFT energy (no corrections) is -4.04 eV per atom. The calculation puts the density at 2.51 g cm⁻³. The crystal system is orthorhombic.

=====

[7]
Compound: Li7Sb2S
Source: the Alexandria database
Functional: PBE
Structure: relaxed

Cell and atoms, written as CIF:
```
data_Li7Sb2S
_chemical_formula_sum 'Li28 Sb8 S4'
_cell_length_a 13.863
_cell_length_b 5.830
_cell_length_c 9.287
_cell_angle_alpha 84.60
_cell_angle_beta 90.00
_cell_angle_gamma 90.00
_space_group_name_H-M_alt 'P 1'
_space_group_IT_number 1
loop_
_space_group_symop_operation_xyz
'x,y,z'
loop_
_atom_site_label
_atom_site_type_symbol
_atom_site_fract_x
_atom_site_fract_y
_atom_site_fract_z
_atom_site_occupancy
Li1 Li 0.109 0.478 0.648 1
Li2 Li 0.946 0.203 0.021 1
Li3 Li 0.759 0.052 0.602 1
Sb1 Sb 0.945 0.796 0.586 1
Sb2 Sb 0.445 0.204 0.914 1
Li4 Li 0.054 0.797 0.979 1
Li5 Li 0.452 0.764 0.801 1
Li6 Li 0.952 0.236 0.699 1
S1 S 0.098 0.195 0.877 1
Sb3 Sb 0.555 0.796 0.086 1
Li7 Li 0.261 0.444 0.407 1
Li8 Li 0.875 0.029 0.328 1
Li9 Li 0.741 0.052 0.102 1
S2 S 0.902 0.805 0.123 1
Li10 Li 0.739 0.556 0.593 1
Li11 Li 0.850 0.814 0.863 1
S3 S 0.402 0.195 0.377 1
Li12 Li 0.891 0.522 0.352 1
Sb4 Sb 0.055 0.204 0.414 1
Li13 Li 0.548 0.236 0.199 1
Li14 Li 0.761 0.556 0.093 1
Li15 Li 0.625 0.029 0.828 1
Sb5 Sb 0.714 0.316 0.347 1
Li16 Li 0.150 0.186 0.137 1
Sb6 Sb 0.286 0.684 0.653 1
Li17 Li 0.048 0.764 0.301 1
Li18 Li 0.554 0.203 0.521 1
Li19 Li 0.125 0.971 0.672 1
Li20 Li 0.375 0.971 0.172 1
Li21 Li 0.609 0.522 0.852 1
Li22 Li 0.650 0.814 0.363 1
Li23 Li 0.391 0.478 0.148 1
Li24 Li 0.239 0.444 0.907 1
Li25 Li 0.446 0.797 0.479 1
Sb7 Sb 0.786 0.316 0.847 1
Li26 Li 0.259 0.948 0.898 1
S4 S 0.598 0.805 0.623 1
Sb8 Sb 0.214 0.684 0.153 1
Li27 Li 0.350 0.186 0.637 1
Li28 Li 0.241 0.948 0.398 1
```

Values from the calculation:
The energy relative to the elements, uncorrected comes out at -763 meV/atom. The value obtained for the total DFT energy (no corrections) is -3.34 eV per atom. The calculation puts the density at 2.88 g cm⁻³. The crystal system is monoclinic.

=====

[8]
Compound: LiSb3S
Source: the Alexandria database
Functional: PBE
Structure: relaxed

Cell and atoms, written as CIF:
```
data_LiSb3S
_chemical_formula_sum 'Li1 Sb3 S1'
_cell_length_a 4.951
_cell_length_b 4.951
_cell_length_c 4.951
_cell_angle_alpha 90.00
_cell_angle_beta 90.00
_cell_angle_gamma 90.00
_space_group_name_H-M_alt 'P 1'
_space_group_IT_number 1
loop_
_space_group_symop_operation_xyz
'x,y,z'
loop_
_atom_site_label
_atom_site_type_symbol
_atom_site_fract_x
_atom_site_fract_y
_atom_site_fract_z
_atom_site_occupancy
S1 S 0.500 0.500 0.500 1
Li1 Li 0.000 0.000 0.000 1
Sb1 Sb 0.000 0.000 0.500 1
Sb2 Sb 0.000 0.500 0.000 1
Sb3 Sb 0.500 0.000 0.000 1
```

Values from the calculation:
The energy relative to the elements, uncorrected comes out at 532 meV/atom. Its energy above the most stable polymorph in this dataset is 0.197 eV/atom. The value obtained for the total DFT energy (no corrections) is -3.15 eV per atom. The calculation puts the density at 5.53 g cm⁻³. The crystal system is cubic.

=====

[9]
Compound: Li5SbS4
Source: the Alexandria database
Functional: PBE
Structure: relaxed

Cell and atoms, written as CIF:
```
data_Li5SbS4
_chemical_formula_sum 'Li10 Sb2 S8'
_cell_length_a 5.597
_cell_length_b 7.728
_cell_length_c 9.308
_cell_angle_alpha 90.00
_cell_angle_beta 90.00
_cell_angle_gamma 90.00
_space_group_name_H-M_alt 'P 1'
_space_group_IT_number 1
loop_
_space_group_symop_operation_xyz
'x,y,z'
loop_
_atom_site_label
_atom_site_type_symbol
_atom_site_fract_x
_atom_site_fract_y
_atom_site_fract_z
_atom_site_occupancy
Li1 Li 0.245 0.227 0.797 1
S1 S 0.465 0.740 0.500 1
Li2 Li 0.789 0.500 0.000 1
Sb1 Sb 0.831 0.000 0.000 1
S2 S 0.465 0.260 0.500 1
Li3 Li 0.245 0.773 0.203 1
Li4 Li 0.755 0.727 0.703 1
Li5 Li 0.755 0.273 0.703 1
Li6 Li 0.755 0.273 0.297 1
S3 S 0.966 0.000 0.715 1
S4 S 0.535 0.240 0.000 1
Li7 Li 0.211 0.000 0.500 1
S5 S 0.535 0.760 0.000 1
Sb2 Sb 0.169 0.500 0.500 1
Li8 Li 0.245 0.227 0.203 1
S6 S 0.034 0.500 0.785 1
Li9 Li 0.755 0.727 0.297 1
S7 S 0.034 0.500 0.215 1
S8 S 0.966 0.000 0.285 1
Li10 Li 0.245 0.773 0.797 1
```

Values from the calculation:
The energy relative to the elements, uncorrected comes out at -986 meV/atom. Its energy above the most stable polymorph in this dataset is 0.035 eV/atom. The value obtained for the total DFT energy (no corrections) is -4.01 eV per atom. The calculation puts the density at 2.35 g cm⁻³. The crystal system is orthorhombic.